## KNb3N (PBE)

Data for crystalline KNb3N at its relaxed geometry.

Structure (CIF):
```
data_KNb3N
_cell_length_a 4.567
_cell_length_b 4.567
_cell_length_c 4.567
_cell_angle_alpha 90.00
_cell_angle_beta 90.00
_cell_angle_gamma 90.00
_symmetry_space_group_name_H-M 'P 1'
_symmetry_Int_Tables_number 1
loop_
_symmetry_equiv_pos_as_xyz
'x,y,z'
loop_
_atom_site_label
_atom_site_fract_x
_atom_site_fract_y
_atom_site_fract_z
Nb1 0.000 0.500 0.000
Nb2 0.000 0.000 0.500
Nb3 0.500 0.000 0.000
N1 0.500 0.500 0.500
K1 0.000 0.000 0.000
```

## Properties
The calculation puts the density of states at the Fermi level at 3.54 states/eV/f.u. The uncorrected formation energy comes out at 3587 meV/atom. For the excess energy over the best structure of this formula in the dataset, the calculation gives 3008 meV/atom.